[1]
This record from Alexandria describes crystalline Na12AgBi7 at its relaxed geometry. The functional is PBE.

Values from the calculation:
As for the space group: R-3 (148). The value obtained for the formation energy is -0.213 eV per atom. The total energy is -50.11 eV/f.u. The density of states at the Fermi level is 8.60 states/eV/cell. The value obtained for the calculated volume is 626.9 Å³/cell. Its calculated density is 4.9 Mg/m³.

abc: 9.0162 9.0162 9.0162
angles: 105.96 105.96 105.96
Last column: nearest neighbours and their distance in Å.
Element x y z (fractional)
Na 0.7888 0.3387 0.6302  3 Bi 3.20-3.41, 2 Na 3.38-3.51
Na 0.6613 0.3698 0.2112  3 Bi 3.20-3.41, 2 Na 3.38-3.51
Na 0.3674 0.0706 0.2723  4 Bi 3.20-3.52, 1 Ag 3.30, 2 Na 3.38-3.51
Na 0.9294 0.7277 0.6326  4 Bi 3.20-3.52, 1 Ag 3.30, 2 Na 3.38-3.51
Na 0.3698 0.2112 0.6613  3 Bi 3.20-3.41, 2 Na 3.38-3.51
Na 0.7277 0.6326 0.9294  4 Bi 3.20-3.52, 1 Ag 3.30, 2 Na 3.38-3.51
Na 0.2723 0.3674 0.0706  4 Bi 3.20-3.52, 1 Ag 3.30, 2 Na 3.38-3.51
Na 0.6302 0.7888 0.3387  3 Bi 3.20-3.41, 2 Na 3.38-3.51
Na 0.0706 0.2723 0.3674  4 Bi 3.20-3.52, 1 Ag 3.30, 2 Na 3.38-3.51
Na 0.6326 0.9294 0.7277  4 Bi 3.20-3.52, 1 Ag 3.30, 2 Na 3.38-3.51
Na 0.3387 0.6302 0.7888  3 Bi 3.20-3.41, 2 Na 3.38-3.51
Na 0.2112 0.6613 0.3698  3 Bi 3.20-3.41, 2 Na 3.38-3.51
Ag 0.0000 0.0000 0.0000  6 Bi 3.25, 6 Na 3.30
Bi 0.1089 0.6847 0.9961  5 Na 3.20-3.41, 1 Ag 3.25, 3 Bi 3.40-3.49
Bi 0.3153 0.0039 0.8911  5 Na 3.20-3.41, 1 Ag 3.25, 3 Bi 3.40-3.49
Bi 0.0039 0.8911 0.3153  5 Na 3.20-3.41, 1 Ag 3.25, 3 Bi 3.40-3.49
Bi 0.5000 0.5000 0.5000  12 Na 3.41-3.52
Bi 0.9961 0.1089 0.6847  5 Na 3.20-3.41, 1 Ag 3.25, 3 Bi 3.40-3.49
Bi 0.6847 0.9961 0.1089  5 Na 3.20-3.41, 1 Ag 3.25, 3 Bi 3.40-3.49
Bi 0.8911 0.3153 0.0039  5 Na 3.20-3.41, 1 Ag 3.25, 3 Bi 3.40-3.49

[2]
This record from Alexandria describes crystalline Na5AgBi2 at its relaxed geometry. The functional is PBE.

Values from the calculation:
As for the space group: P6_3/mmc (194). The value obtained for the formation energy is -0.288 eV per atom. The total energy is -19.52 eV/f.u. The density of states at the Fermi level is 1.65 states/eV/cell. The value obtained for the calculated volume is 512.6 Å³/cell. Its calculated density is 4.2 Mg/m³.

abc: 5.4920 5.4920 19.6253
angles: 90.00 90.00 120.00
Last column: nearest neighbours and their distance in Å.
Element x y z (fractional)
Na 0.0000 0.0000 0.3603  3 Bi 3.22, 3 Na 3.57
Na 0.0000 0.0000 0.1397  3 Bi 3.22, 3 Na 3.57
Na 0.6667 0.3333 0.2500  3 Ag 3.17
Na 0.0000 0.0000 0.8603  3 Bi 3.22, 3 Na 3.57
Na 0.6667 0.3333 0.0556  4 Bi 3.26-3.35, 3 Na 3.57
Na 0.3333 0.6667 0.7500  3 Ag 3.17
Na 0.3333 0.6667 0.9444  4 Bi 3.26-3.35, 3 Na 3.57
Na 0.3333 0.6667 0.5556  4 Bi 3.26-3.35, 3 Na 3.57
Na 0.6667 0.3333 0.4444  4 Bi 3.26-3.35, 3 Na 3.57
Na 0.0000 0.0000 0.6397  3 Bi 3.22, 3 Na 3.57
Ag 0.3333 0.6667 0.2500  2 Bi 2.73
Ag 0.6667 0.3333 0.7500  2 Bi 2.73
Bi 0.6667 0.3333 0.6107  1 Ag 2.73
Bi 0.3333 0.6667 0.1107  1 Ag 2.73
Bi 0.3333 0.6667 0.3893  1 Ag 2.73
Bi 0.6667 0.3333 0.8893  1 Ag 2.73

[3]
This record from Alexandria describes crystalline NaAgBi2 at its relaxed geometry. The functional is PBE.

Values from the calculation:
For the polymorph energy (0 for the lowest one), the calculation gives 55 meV/atom. As for the space group: P4/mmm (123). The value obtained for the formation energy is -0.039 eV per atom. The total energy is -12.09 eV/f.u. The density of states at the Fermi level is 1.42 states/eV/cell. The value obtained for the calculated volume is 109.8 Å³/cell. Its calculated density is 8.3 Mg/m³.

abc: 3.7666 3.7666 7.7399
angles: 90.00 90.00 90.00
Last column: nearest neighbours and their distance in Å.
Element x y z (fractional)
Na 0.5000 0.5000 0.5000  8 Bi 3.45, 4 Na 3.77
Bi 0.0000 0.0000 0.7842  4 Ag 3.14, 1 Bi 3.34, 4 Na 3.45
Bi 0.0000 0.0000 0.2158  4 Ag 3.14, 1 Bi 3.34, 4 Na 3.45
Ag 0.5000 0.5000 0.0000  8 Bi 3.14

[4]
This record from Alexandria describes crystalline Na2AgBi2 at its relaxed geometry. The functional is PBE.

Values from the calculation:
For the polymorph energy (0 for the lowest one), the calculation gives 0 meV/atom. As for the space group: P4/mbm (127). The value obtained for the formation energy is -0.196 eV per atom. The total energy is -14.23 eV/f.u. The density of states at the Fermi level is 3.50 states/eV/cell. The value obtained for the calculated volume is 297.0 Å³/cell. Its calculated density is 6.4 Mg/m³.

abc: 7.6192 7.6192 5.1154
angles: 90.00 90.00 90.00
Last column: nearest neighbours and their distance in Å.
Element x y z (fractional)
Na 0.1638 0.6638 0.5000  6 Bi 3.28-3.48, 1 Na 3.53
Na 0.6638 0.8362 0.5000  6 Bi 3.28-3.48, 1 Na 3.53
Na 0.8362 0.3362 0.5000  6 Bi 3.28-3.48, 1 Na 3.53
Na 0.3362 0.1638 0.5000  6 Bi 3.28-3.48, 1 Na 3.53
Bi 0.3543 0.8543 0.0000  2 Ag 2.92, 1 Bi 3.14
Bi 0.8543 0.6457 0.0000  2 Ag 2.92, 1 Bi 3.14
Bi 0.6457 0.1457 0.0000  2 Ag 2.92, 1 Bi 3.14
Bi 0.1457 0.3543 0.0000  2 Ag 2.92, 1 Bi 3.14
Ag 0.0000 0.0000 0.0000  4 Bi 2.92
Ag 0.5000 0.5000 0.0000  4 Bi 2.92

Question: formation energy of number 4 (Na2AgBi2)?
Answer: -0.196 eV per atom